Below is a relaxed Ho2GaPPt6 crystal, with properties calculated at the PBE level.

It has space group Pmmn (No. 59, origin choice 2), with a = 5.547 Å, b = 8.544 Å, c = 8.141 Å, α = 90.00°, β = 90.00° and γ = 90.00°. The asymmetric unit holds Ho at (0.250, 0.015, 0.233), Ga at (0.250, 0.750, 0.783), P at (0.250, 0.250, 0.740), Pt at (0.001, 0.250, 0.483), Pt at (0.003, 0.750, 0.036) and Pt at (0.250, 0.004, 0.620).

Its crystal system is orthorhombic. The formation energy comes out at -897 meV/atom. Its spin magnetization is 0.0000 μB per atom. The value obtained for the total energy is -125.61 eV per cell.